Record 1
! UTi2Ru | Alexandria via LeMat-Bulk | PBE | optimized geometry; values from VASP
&SYSTEM
  ibrav = 0, nat = 4, ntyp = 3
/
ATOMIC_SPECIES
U 238.03 U.upf
Ti 47.87 Ti.upf
Ru 101.07 Ru.upf
CELL_PARAMETERS angstrom
3.020 0.000 0.000
0.000 3.020 0.000
0.000 0.000 7.593
ATOMIC_POSITIONS angstrom
U 0.000 0.000 0.000
Ti 1.510 1.510 2.241
Ti 1.510 1.510 5.352
Ru 0.000 0.000 3.797
! Formation energy   -0.2238 eV per atom

Record 2
! MnCdSn3 | Alexandria via LeMat-Bulk | PBE | optimized geometry; values from VASP
&SYSTEM
  ibrav = 0, nat = 5, ntyp = 3
/
ATOMIC_SPECIES
Mn 54.94 Mn.upf
Cd 112.41 Cd.upf
Sn 118.71 Sn.upf
CELL_PARAMETERS angstrom
5.526 0.000 0.000
0.000 5.526 0.000
0.000 0.000 5.526
ATOMIC_POSITIONS angstrom
Mn 0.000 0.000 0.000
Cd 2.763 2.763 2.763
Sn 0.000 2.763 2.763
Sn 2.763 0.000 2.763
Sn 2.763 2.763 0.000
! Formation energy   1.4338 eV per atom

Record 3
! Tb2Nd2Er | Alexandria via LeMat-Bulk | PBE | optimized geometry; values from VASP
&SYSTEM
  ibrav = 0, nat = 10, ntyp = 3
/
ATOMIC_SPECIES
Tb 158.93 Tb.upf
Nd 144.24 Nd.upf
Er 167.26 Er.upf
CELL_PARAMETERS angstrom
-1.825 2.873 15.939
1.825 -2.873 15.939
1.825 2.873 -15.939
ATOMIC_POSITIONS angstrom
Tb 1.825 1.437 -6.648
Tb 0.000 1.437 6.222
Tb 1.825 1.437 9.717
Tb 0.000 1.437 22.587
Nd 1.825 -1.437 12.086
Nd 1.825 -1.437 15.241
Nd 0.000 4.310 0.698
Nd 0.000 4.310 3.854
Er 1.825 1.437 2.562
Er 0.000 1.437 13.377
! Formation energy   0.1348 eV per atom

Record 4
! Tb2CeDy5Ho | Alexandria via LeMat-Bulk | PBE | optimized geometry; values from VASP
&SYSTEM
  ibrav = 0, nat = 18, ntyp = 4
/
ATOMIC_SPECIES
Tb 158.93 Tb.upf
Ce 140.12 Ce.upf
Dy 162.50 Dy.upf
Ho 164.93 Ho.upf
CELL_PARAMETERS angstrom
2.843 -10.757 0.000
2.843 10.757 0.000
0.000 0.000 9.523
ATOMIC_POSITIONS angstrom
Tb 2.843 8.311 4.762
Tb 2.843 7.884 8.429
Tb 2.843 -7.884 3.667
Tb 2.843 -8.311 0.000
Ce 2.843 6.656 1.879
Ce 2.843 -6.656 6.641
Dy 2.843 10.465 1.804
Dy 2.843 5.011 4.857
Dy 2.843 4.169 8.491
Dy 2.843 2.265 2.122
Dy 2.843 0.619 8.811
Dy 2.843 -0.619 4.049
Dy 2.843 -2.265 6.884
Dy 2.843 -4.169 3.729
Dy 2.843 -5.011 0.095
Dy 2.843 -10.465 6.566
Ho 2.843 2.090 5.772
Ho 2.843 -2.090 1.011
! Formation energy   0.1688 eV per atom